Compound: La3Zn5Ag6
Source: the Alexandria database
Functional: PBE
Structure: optimized geometry

Computed properties:
Its total energy is -3.011 eV/atom. The calculation puts the formation energy at -26.9 kJ per mole of atoms.

Lattice parameters (Å, degrees): 4.6667 13.6308 9.3185 90.00 90.00 90.00
Closest atoms and distances in Å follow each position.
Sites, in units of the cell vectors:
1 La 0.2500 0.0447 0.2500  6 Zn 3.21-3.51, 8 Ag 3.22-3.47
2 La 0.2500 0.4553 0.2500  6 Zn 3.21-3.51, 8 Ag 3.22-3.47
3 La 0.2500 0.7500 0.2479  6 Zn 3.23-3.51, 6 Ag 3.23-3.47
4 La 0.7500 0.2500 0.7521  6 Zn 3.23-3.51, 6 Ag 3.23-3.47
5 La 0.7500 0.5447 0.7500  6 Zn 3.21-3.51, 8 Ag 3.22-3.47
6 La 0.7500 0.9553 0.7500  6 Zn 3.21-3.51, 8 Ag 3.22-3.47
7 Zn 0.2500 0.0867 0.6030  5 Ag 2.67-2.86
8 Zn 0.2500 0.4133 0.6030  5 Ag 2.67-2.86
9 Zn 0.2500 0.6188 0.9596  1 Zn 2.62, 3 Ag 2.76-2.87
10 Zn 0.2500 0.7500 0.7540  2 Zn 2.62, 6 Ag 2.71-2.93
11 Zn 0.2500 0.8812 0.9596  1 Zn 2.62, 3 Ag 2.76-2.87
12 Zn 0.7500 0.1188 0.0404  1 Zn 2.62, 3 Ag 2.76-2.87
13 Zn 0.7500 0.2500 0.2460  2 Zn 2.62, 6 Ag 2.71-2.93
14 Zn 0.7500 0.3812 0.0404  1 Zn 2.62, 3 Ag 2.76-2.87
15 Zn 0.7500 0.5867 0.3970  5 Ag 2.67-2.86
16 Zn 0.7500 0.9133 0.3970  5 Ag 2.67-2.86
17 Ag 0.2500 0.0866 0.8900  4 Zn 2.67-2.87, 1 Ag 2.81
18 Ag 0.2500 0.2500 0.0734  2 Ag 2.81, 6 Zn 2.83-2.96
19 Ag 0.2500 0.2500 0.4356  4 Zn 2.72-2.93, 4 Ag 2.96
20 Ag 0.2500 0.4134 0.8900  4 Zn 2.67-2.87, 1 Ag 2.81
21 Ag 0.2500 0.6182 0.5357  4 Zn 2.70-2.86, 2 Ag 2.96
22 Ag 0.2500 0.8818 0.5357  4 Zn 2.70-2.86, 2 Ag 2.96
23 Ag 0.7500 0.1182 0.4643  4 Zn 2.70-2.86, 2 Ag 2.96
24 Ag 0.7500 0.3818 0.4643  4 Zn 2.70-2.86, 2 Ag 2.96
25 Ag 0.7500 0.5866 0.1100  4 Zn 2.67-2.87, 1 Ag 2.81
26 Ag 0.7500 0.7500 0.5644  4 Zn 2.72-2.93, 4 Ag 2.96
27 Ag 0.7500 0.7500 0.9266  2 Ag 2.81, 6 Zn 2.83-2.96
28 Ag 0.7500 0.9134 0.1100  4 Zn 2.67-2.87, 1 Ag 2.81

Compound: YAlTc2
Source: the Alexandria database
Functional: PBE
Structure: optimized geometry

Computed properties:
Its total energy is -7.839 eV/atom. The calculation puts the formation energy at -10.1 kJ per mole of atoms.

Lattice parameters (Å, degrees): 3.3966 3.3966 6.2796 90.00 90.00 90.00
Closest atoms and distances in Å follow each position.
Sites, in units of the cell vectors:
1 Y 0.0000 0.0000 0.0000  8 Tc 3.09, 2 Al 3.14, 4 Y 3.40
2 Al 0.0000 0.0000 0.5000  8 Tc 2.68
3 Tc 0.5000 0.5000 0.3097  1 Tc 2.39
4 Tc 0.5000 0.5000 0.6903  1 Tc 2.39

Compound: Rb2MgTc4
Source: the Alexandria database
Functional: PBE
Structure: optimized geometry

Computed properties:
Its total energy is -4.114 eV/atom. The calculation puts the formation energy at 223.2 kJ per mole of atoms.

Lattice parameters (Å, degrees): 9.5030 9.5030 9.5030 149.60 149.60 43.52
Closest atoms and distances in Å follow each position.
Sites, in units of the cell vectors:
1 Rb 0.1540 0.1540 0.0000  9 Tc 3.54-3.69
2 Rb 0.8460 0.8460 0.0000  9 Tc 3.54-3.69
3 Mg 0.5000 0.5000 0.0000  6 Tc 2.42-2.49
4 Tc 0.0000 0.5000 0.5000  2 Mg 2.49
5 Tc 0.3626 0.3626 0.0000  1 Mg 2.42
6 Tc 0.5000 0.0000 0.5000  2 Mg 2.49
7 Tc 0.6374 0.6374 0.0000  1 Mg 2.42

Compound: Mn2HOs
Source: the Alexandria database
Functional: PBE
Structure: optimized geometry

Computed properties:
For the relative energy among the computed polymorphs, the calculation gives 0 meV/atom. Its total energy is -8.259 eV/atom.

Lattice parameters (Å, degrees): 6.4435 6.4435 6.4435 23.78 23.78 23.78
Closest atoms and distances in Å follow each position.
Sites, in units of the cell vectors:
1 Mn 0.0000 0.0000 0.0000  3 H 1.86
2 Mn 0.2211 0.2211 0.2211  3 H 1.86
3 H 0.6109 0.6109 0.6109  6 Mn 1.86
4 Os 0.4422 0.4422 0.4422  6 Mn 2.56-2.61, 6 Os 2.65

Compound: NaTcBSb2
Source: the Alexandria database
Functional: PBE
Structure: optimized geometry

Computed properties:
Its total energy is -4.871 eV/atom. As for the uncorrected formation energy: 0.451 eV/atom.

Lattice parameters (Å, degrees): 5.2597 5.2597 4.1949 90.00 90.00 90.00
Closest atoms and distances in Å follow each position.
Sites, in units of the cell vectors:
1 Na 0.0000 0.0000 0.0000  8 Sb 3.36, 4 B 3.72
2 Tc 0.5000 0.5000 0.5000  2 B 2.10
3 B 0.5000 0.5000 0.0000  2 Tc 2.10
4 Sb 0.0000 0.5000 0.5000  2 Tc 2.63
5 Sb 0.5000 0.0000 0.5000  2 Tc 2.63

Compound: Mn2SnPt
Source: the Alexandria database
Functional: PBE
Structure: optimized geometry

Computed properties:
Its total energy is -7.256 eV/atom. The calculation puts the formation energy at -15.5 kJ per mole of atoms.

Lattice parameters (Å, degrees): 3.9628 3.9628 3.9986 90.00 90.00 90.00
Closest atoms and distances in Å follow each position.
Sites, in units of the cell vectors:
1 Mn 0.0000 0.5000 0.0000  4 Mn 2.80, 4 Pt 2.81, 4 Sn 2.81
2 Mn 0.5000 0.0000 0.0000  4 Mn 2.80, 4 Pt 2.81, 4 Sn 2.81
3 Sn 0.0000 0.0000 0.5000  4 Pt 2.80, 8 Mn 2.81
4 Pt 0.5000 0.5000 0.5000  4 Sn 2.80, 8 Mn 2.81

Compound: CuAs2Br
Source: the Alexandria database
Functional: PBE
Structure: optimized geometry

Computed properties:
For the relative energy among the computed polymorphs, the calculation gives 80 meV/atom. Its total energy is -3.712 eV/atom. As for the uncorrected formation energy: 0.055 eV/atom.

Lattice parameters (Å, degrees): 5.1482 5.1482 6.0481 92.20 92.20 41.40
Closest atoms and distances in Å follow each position.
Sites, in units of the cell vectors:
1 Cu 0.0000 0.0000 0.0000  1 Br 2.28, 1 As 2.37
2 As 0.1691 0.1691 0.7256  1 Cu 2.37, 2 As 2.45
3 As 0.4994 0.4994 0.6851  2 As 2.45, 2 Cu 2.63
4 Br 0.8260 0.8260 0.2447  1 Cu 2.28

Compound: CaTlBiPtN
Source: the Alexandria database
Functional: PBE
Structure: optimized geometry

Computed properties:
For the relative energy among the computed polymorphs, the calculation gives 136 meV/atom. Its total energy is -4.641 eV/atom. As for the uncorrected formation energy: -0.118 eV/atom.

Lattice parameters (Å, degrees): 5.5790 3.8969 5.7868 90.00 92.10 90.00
Closest atoms and distances in Å follow each position.
Sites, in units of the cell vectors:
1 Ca 0.0000 0.0000 0.0000  2 N 2.36
2 Tl 0.5445 0.0000 0.5885  2 Pt 2.86
3 Bi 0.0493 0.5000 0.4559  1 N 2.28
4 Pt 0.4712 0.5000 0.2307  1 N 1.98
5 N 0.8073 0.5000 0.1298  1 Pt 1.98

Compound: Bi2PtPb2
Source: the Alexandria database
Functional: PBE
Structure: optimized geometry

Computed properties:
For the relative energy among the computed polymorphs, the calculation gives 0 meV/atom. Its total energy is -4.342 eV/atom. The calculation puts the formation energy at -9.5 kJ per mole of atoms.

Lattice parameters (Å, degrees): 8.5286 8.5286 8.5286 133.03 63.60 139.67
Closest atoms and distances in Å follow each position.
Sites, in units of the cell vectors:
1 Bi 0.0793 0.1780 0.2573  2 Pt 2.88
2 Bi 0.4207 0.6780 0.0987  2 Pt 2.88
3 Bi 0.5793 0.3220 0.9013  2 Pt 2.88
4 Bi 0.9207 0.8220 0.7427  2 Pt 2.88
5 Pt 0.2500 0.7500 0.5000  4 Bi 2.88, 2 Pt 2.94, 4 Pb 3.12
6 Pt 0.7500 0.2500 0.5000  4 Bi 2.88, 2 Pt 2.94, 4 Pb 3.12
7 Pb 0.1756 0.6530 0.8286  2 Pt 3.12, 2 Bi 3.45
8 Pb 0.3244 0.1530 0.4774  2 Pt 3.12, 2 Bi 3.45
9 Pb 0.6756 0.8470 0.5226  2 Pt 3.12, 2 Bi 3.45
10 Pb 0.8244 0.3470 0.1714  2 Pt 3.12, 2 Bi 3.45

Compound: InI3
Source: the Alexandria database
Functional: PBE
Structure: optimized geometry

Computed properties:
Its total energy is -2.326 eV/atom. As for the uncorrected formation energy: -0.479 eV/atom.

Lattice parameters (Å, degrees): 10.4482 6.6542 12.6782 90.00 107.24 90.00
Closest atoms and distances in Å follow each position.
Sites, in units of the cell vectors:
1 In 0.1989 0.0025 0.0485  4 I 2.69-2.89
2 In 0.1989 0.4975 0.5485  4 I 2.69-2.89
3 In 0.8011 0.5025 0.4515  4 I 2.69-2.89
4 In 0.8011 0.9975 0.9515  4 I 2.69-2.89
5 I 0.0013 0.7240 0.3833  2 In 2.89
6 I 0.0013 0.7760 0.8833  2 In 2.89
7 I 0.3270 0.2477 0.4467  1 In 2.69
8 I 0.3270 0.2523 0.9467  1 In 2.69
9 I 0.3290 0.7433 0.7143  1 In 2.69
10 I 0.3290 0.7567 0.2143  1 In 2.69
11 I 0.6710 0.2433 0.7857  1 In 2.69
12 I 0.6710 0.2567 0.2857  1 In 2.69
13 I 0.6730 0.7477 0.0533  1 In 2.69
14 I 0.6730 0.7523 0.5533  1 In 2.69
15 I 0.9987 0.2240 0.1167  2 In 2.89
16 I 0.9987 0.2760 0.6167  2 In 2.89

Compound: Tl4RhI6
Source: the Alexandria database
Functional: PBE
Structure: optimized geometry

Computed properties:
Its total energy is -2.833 eV/atom. As for the uncorrected formation energy: -0.459 eV/atom.

Lattice parameters (Å, degrees): 9.1801 9.1801 9.8954 90.00 90.00 90.00
Closest atoms and distances in Å follow each position.
Sites, in units of the cell vectors:
1 Tl 0.1472 0.3528 0.2500  6 I 3.43-3.63, 1 Tl 3.82
2 Tl 0.1472 0.3528 0.7500  6 I 3.43-3.63, 1 Tl 3.82
3 Tl 0.3528 0.8528 0.2500  6 I 3.43-3.63, 1 Tl 3.82
4 Tl 0.3528 0.8528 0.7500  6 I 3.43-3.63, 1 Tl 3.82
5 Tl 0.6472 0.1472 0.2500  6 I 3.43-3.63, 1 Tl 3.82
6 Tl 0.6472 0.1472 0.7500  6 I 3.43-3.63, 1 Tl 3.82
7 Tl 0.8528 0.6472 0.2500  6 I 3.43-3.63, 1 Tl 3.82
8 Tl 0.8528 0.6472 0.7500  6 I 3.43-3.63, 1 Tl 3.82
9 Rh 0.0000 0.0000 0.0000  6 I 2.69-2.88
10 Rh 0.5000 0.5000 0.5000  6 I 2.69-2.88
11 I 0.0000 0.0000 0.2721  1 Rh 2.69
12 I 0.0000 0.0000 0.7279  1 Rh 2.69
13 I 0.1333 0.7155 0.0000  1 Rh 2.88
14 I 0.2155 0.6333 0.5000  1 Rh 2.88
15 I 0.2845 0.1333 0.0000  1 Rh 2.88
16 I 0.3667 0.2155 0.5000  1 Rh 2.88
17 I 0.5000 0.5000 0.2279  1 Rh 2.69
18 I 0.5000 0.5000 0.7721  1 Rh 2.69
19 I 0.6333 0.7845 0.5000  1 Rh 2.88
20 I 0.7155 0.8667 0.0000  1 Rh 2.88
21 I 0.7845 0.3667 0.5000  1 Rh 2.88
22 I 0.8667 0.2845 0.0000  1 Rh 2.88

Compound: DyY7Sc2
Source: the Alexandria database
Functional: PBE
Structure: optimized geometry

Computed properties:
Its total energy is -6.205 eV/atom. The calculation puts the formation energy at 4.4 kJ per mole of atoms.

Lattice parameters (Å, degrees): 6.0698 7.0133 7.8506 77.10 75.04 73.39
Closest atoms and distances in Å follow each position.
Sites, in units of the cell vectors:
1 Dy 0.0000 0.0000 0.0000  2 Sc 3.50, 10 Y 3.51-3.55
2 Y 0.0000 0.5000 0.0000  8 Y 3.50-3.55, 2 Dy 3.51, 2 Sc 3.51
3 Y 0.1994 0.2978 0.5981  4 Sc 3.47-3.54, 7 Y 3.47-3.53, 1 Dy 3.51
4 Y 0.3991 0.0985 0.2042  7 Y 3.47-3.57, 3 Sc 3.47-3.51, 2 Dy 3.52
5 Y 0.4029 0.5987 0.2056  9 Y 3.48-3.58, 2 Sc 3.49-3.51, 1 Dy 3.55
6 Y 0.5971 0.4013 0.7944  9 Y 3.48-3.58, 2 Sc 3.49-3.51, 1 Dy 3.55
7 Y 0.6009 0.9015 0.7958  7 Y 3.47-3.57, 3 Sc 3.47-3.51, 2 Dy 3.52
8 Y 0.8006 0.7022 0.4019  4 Sc 3.47-3.54, 7 Y 3.47-3.53, 1 Dy 3.51
9 Sc 0.1944 0.8034 0.5996  1 Sc 3.45, 10 Y 3.47-3.54, 1 Dy 3.50
10 Sc 0.8056 0.1966 0.4004  1 Sc 3.45, 10 Y 3.47-3.54, 1 Dy 3.50